Below is an optimized crystal structure of Ac6Tl6Si, with properties calculated at the PBE-GGA level.

Summary:
Fermi-level density of states ... 15.36 states/eV per cell
Energy ... -0.1318 hartree per atom
E_form (uncorrected) ... -2.4 eV/f.u.
Symmetry ... P6/mmm, No. 191

a b c (Å): 6.9496 6.9496 11.3770
angles (deg): 90.00 90.00 120.00
Closest atoms and distances in Å follow each position.
Positions (direct):
Ac (0.0000, 0.0000, 0.2321)  1 Si 3.05
Ac (0.0000, 0.0000, 0.7679)  1 Si 3.05
Ac (0.3333, 0.6667, 0.0000)  6 Tl 3.44
Ac (0.3333, 0.6667, 0.5000)  6 Tl 3.52
Ac (0.6667, 0.3333, 0.0000)  6 Tl 3.44
Ac (0.6667, 0.3333, 0.5000)  6 Tl 3.52
Tl (0.0000, 0.5000, 0.2460)  6 Ac 3.44-3.52, 4 Tl 3.47
Tl (0.0000, 0.5000, 0.7540)  6 Ac 3.44-3.52, 4 Tl 3.47
Tl (0.5000, 0.0000, 0.2460)  6 Ac 3.44-3.52, 4 Tl 3.47
Tl (0.5000, 0.0000, 0.7540)  6 Ac 3.44-3.52, 4 Tl 3.47
Tl (0.5000, 0.5000, 0.2460)  6 Ac 3.44-3.52, 4 Tl 3.47
Tl (0.5000, 0.5000, 0.7540)  6 Ac 3.44-3.52, 4 Tl 3.47
Si (0.0000, 0.0000, 0.5000)  2 Ac 3.05



Below is an optimized crystal structure of Ac12TlSi7, with properties calculated at the PBE-GGA level.

Summary:
Fermi-level density of states ... 20.29 states/eV per cell
Energy ... -0.1733 hartree per atom
E_form (uncorrected) ... -4.7 eV/f.u.
Symmetry ... R-3, No. 148

a b c (Å): 9.8912 9.8912 9.8912
angles (deg): 110.28 110.28 110.28
Closest atoms and distances in Å follow each position.
Positions (direct):
Ac (0.1006, 0.3132, 0.3946)  4 Si 3.18-3.35, 1 Tl 3.55
Ac (0.1210, 0.6619, 0.2636)  3 Si 3.09-3.15
Ac (0.2636, 0.1210, 0.6619)  3 Si 3.09-3.15
Ac (0.3132, 0.3946, 0.1006)  4 Si 3.18-3.35, 1 Tl 3.55
Ac (0.3381, 0.7364, 0.8790)  3 Si 3.09-3.15
Ac (0.3946, 0.1006, 0.3132)  4 Si 3.18-3.35, 1 Tl 3.55
Ac (0.6054, 0.8994, 0.6868)  4 Si 3.18-3.35, 1 Tl 3.55
Ac (0.6619, 0.2636, 0.1210)  3 Si 3.09-3.15
Ac (0.6868, 0.6054, 0.8994)  4 Si 3.18-3.35, 1 Tl 3.55
Ac (0.7364, 0.8790, 0.3381)  3 Si 3.09-3.15
Ac (0.8790, 0.3381, 0.7364)  3 Si 3.09-3.15
Ac (0.8994, 0.6868, 0.6054)  4 Si 3.18-3.35, 1 Tl 3.55
Tl (0.0000, 0.0000, 0.0000)  6 Si 2.90
Si (0.0320, 0.9406, 0.2732)  1 Tl 2.90, 5 Ac 3.09-3.19, 2 Si 3.19
Si (0.0594, 0.7268, 0.9680)  1 Tl 2.90, 5 Ac 3.09-3.19, 2 Si 3.19
Si (0.2732, 0.0320, 0.9406)  1 Tl 2.90, 5 Ac 3.09-3.19, 2 Si 3.19
Si (0.5000, 0.5000, 0.5000)  6 Ac 3.30
Si (0.7268, 0.9680, 0.0594)  1 Tl 2.90, 5 Ac 3.09-3.19, 2 Si 3.19
Si (0.9406, 0.2732, 0.0320)  1 Tl 2.90, 5 Ac 3.09-3.19, 2 Si 3.19
Si (0.9680, 0.0594, 0.7268)  1 Tl 2.90, 5 Ac 3.09-3.19, 2 Si 3.19



Below is an optimized crystal structure of Ac6Tl3Si, with properties calculated at the PBE-GGA level.

Summary:
Fermi-level density of states ... 22.38 states/eV per cell
Energy ... -0.1462 hartree per atom
E_form (uncorrected) ... -2.6 eV/f.u.
Symmetry ... P2_1/c, No. 14

a b c (Å): 6.7899 9.4879 13.6443
angles (deg): 90.00 117.62 90.00
Closest atoms and distances in Å follow each position.
Positions (direct):
Ac (0.0580, 0.1595, 0.4288)  1 Si 3.09, 1 Tl 3.45
Ac (0.0580, 0.3405, 0.9288)  1 Si 3.09, 1 Tl 3.45
Ac (0.3238, 0.6934, 0.4303)  1 Si 3.12, 1 Tl 3.32
Ac (0.3238, 0.8066, 0.9303)  1 Si 3.12, 1 Tl 3.32
Ac (0.3917, 0.0546, 0.2604)  1 Si 3.04, 1 Tl 3.35
Ac (0.3917, 0.4454, 0.7604)  1 Si 3.04, 1 Tl 3.35
Ac (0.6083, 0.5546, 0.2396)  1 Si 3.04, 1 Tl 3.35
Ac (0.6083, 0.9454, 0.7396)  1 Si 3.04, 1 Tl 3.35
Ac (0.6762, 0.1934, 0.0697)  1 Si 3.12, 1 Tl 3.32
Ac (0.6762, 0.3066, 0.5697)  1 Si 3.12, 1 Tl 3.32
Ac (0.9420, 0.6595, 0.0712)  1 Si 3.09, 1 Tl 3.45
Ac (0.9420, 0.8405, 0.5712)  1 Si 3.09, 1 Tl 3.45
Tl (0.0000, 0.0000, 0.0000)  6 Ac 3.32-3.45
Tl (0.0000, 0.5000, 0.5000)  6 Ac 3.32-3.45
Tl (0.1783, 0.1126, 0.7655)  6 Ac 3.46-3.70
Tl (0.1783, 0.3874, 0.2655)  6 Ac 3.46-3.70
Tl (0.8217, 0.6126, 0.7345)  6 Ac 3.46-3.70
Tl (0.8217, 0.8874, 0.2345)  6 Ac 3.46-3.70
Si (0.5000, 0.0000, 0.5000)  6 Ac 3.04-3.12
Si (0.5000, 0.5000, 0.0000)  6 Ac 3.04-3.12



Below is an optimized crystal structure of Ac3TlSi, with properties calculated at the PBE-GGA level.

Summary:
Fermi-level density of states ... 20.12 states/eV per cell
Energy ... -0.1598 hartree per atom
E_form (uncorrected) ... -1.6 eV/f.u.
Symmetry ... P2_1/c, No. 14

a b c (Å): 10.3969 8.3117 9.2106
angles (deg): 90.00 114.92 90.00
Closest atoms and distances in Å follow each position.
Positions (direct):
Ac (0.0632, 0.0081, 0.2163)  4 Tl 3.33-3.68, 1 Si 3.36, 1 Ac 3.63
Ac (0.0632, 0.4919, 0.7163)  4 Tl 3.33-3.68, 1 Si 3.36, 1 Ac 3.63
Ac (0.3076, 0.1875, 0.6129)  3 Si 3.21-3.35, 1 Tl 3.51
Ac (0.3076, 0.3125, 0.1129)  3 Si 3.21-3.35, 1 Tl 3.51
Ac (0.3546, 0.6748, 0.4905)  3 Si 3.26-3.53, 1 Tl 3.34
Ac (0.3546, 0.8252, 0.9905)  3 Si 3.26-3.53, 1 Tl 3.34
Ac (0.6454, 0.1748, 0.0095)  3 Si 3.26-3.53, 1 Tl 3.34
Ac (0.6454, 0.3252, 0.5095)  3 Si 3.26-3.53, 1 Tl 3.34
Ac (0.6924, 0.6875, 0.8871)  3 Si 3.21-3.35, 1 Tl 3.51
Ac (0.6924, 0.8125, 0.3871)  3 Si 3.21-3.35, 1 Tl 3.51
Ac (0.9368, 0.5081, 0.2837)  4 Tl 3.33-3.68, 1 Si 3.36, 1 Ac 3.63
Ac (0.9368, 0.9919, 0.7837)  4 Tl 3.33-3.68, 1 Si 3.36, 1 Ac 3.63
Tl (0.0962, 0.6559, 0.0631)  1 Tl 3.18, 5 Ac 3.33-3.51
Tl (0.0962, 0.8441, 0.5631)  1 Tl 3.18, 5 Ac 3.33-3.51
Tl (0.9038, 0.1559, 0.4369)  1 Tl 3.18, 5 Ac 3.33-3.51
Tl (0.9038, 0.3441, 0.9369)  1 Tl 3.18, 5 Ac 3.33-3.51
Si (0.4185, 0.0150, 0.3570)  1 Si 2.47
Si (0.4185, 0.4850, 0.8570)  1 Si 2.47
Si (0.5815, 0.5150, 0.1430)  1 Si 2.47
Si (0.5815, 0.9850, 0.6430)  1 Si 2.47



Below is an optimized crystal structure of Ac6TlSi2, with properties calculated at the PBE-GGA level.

Summary:
Fermi-level density of states ... 15.40 states/eV per cell
Energy ... -0.1681 hartree per atom
E_form (uncorrected) ... -3.3 eV/f.u.
Symmetry ... Immm, No. 71

a b c (Å): 9.4242 9.4242 9.4242
angles (deg): 111.58 109.58 107.28
Closest atoms and distances in Å follow each position.
Positions (direct):
Ac (0.0341, 0.2396, 0.7945)  2 Si 3.27-3.62, 1 Tl 3.49
Ac (0.1806, 0.2760, 0.4565)  3 Si 3.31-3.63, 1 Tl 3.52
Ac (0.1806, 0.7240, 0.9046)  3 Si 3.31-3.63, 1 Tl 3.52
Ac (0.3213, 0.0246, 0.7033)  3 Si 3.21-3.22
Ac (0.3213, 0.6180, 0.2967)  3 Si 3.21-3.22
Ac (0.4451, 0.2396, 0.2055)  2 Si 3.27-3.62, 1 Tl 3.49
Ac (0.5549, 0.7604, 0.7945)  2 Si 3.27-3.62, 1 Tl 3.49
Ac (0.6787, 0.3820, 0.7033)  3 Si 3.21-3.22
Ac (0.6787, 0.9754, 0.2967)  3 Si 3.21-3.22
Ac (0.8194, 0.2760, 0.0954)  3 Si 3.31-3.63, 1 Tl 3.52
Ac (0.8194, 0.7240, 0.5435)  3 Si 3.31-3.63, 1 Tl 3.52
Ac (0.9659, 0.7604, 0.2055)  2 Si 3.27-3.62, 1 Tl 3.49
Tl (0.0000, 0.0000, 0.0000)  8 Ac 3.49-3.52
Tl (0.5000, 0.5000, 0.0000)  8 Ac 3.67-3.72
Si (0.1082, 0.6082, 0.5000)  1 Si 2.42
Si (0.3787, 0.0000, 0.3787)  1 Si 2.64
Si (0.6213, 0.0000, 0.6213)  1 Si 2.64
Si (0.8918, 0.3918, 0.5000)  1 Si 2.42



Below is an optimized crystal structure of Ac2TlSi2, with properties calculated at the PBE-GGA level.

Summary:
Fermi-level density of states ... 4.00 states/eV per cell
Energy ... -0.1768 hartree per atom
E_form (uncorrected) ... -2.6 eV/f.u.
Symmetry ... P4/mbm, No. 127

a b c (Å): 8.0301 8.0301 4.5010
angles (deg): 90.00 90.00 90.00
Closest atoms and distances in Å follow each position.
Positions (direct):
Ac (0.1826, 0.3174, 0.0000)  6 Si 3.29
Ac (0.3174, 0.8174, 0.0000)  6 Si 3.29
Ac (0.6826, 0.1826, 0.0000)  6 Si 3.29
Ac (0.8174, 0.6826, 0.0000)  6 Si 3.29
Tl (0.0000, 0.0000, 0.5000)  4 Si 3.28
Tl (0.5000, 0.5000, 0.5000)  4 Si 3.28
Si (0.1056, 0.6056, 0.5000)  1 Si 2.40
Si (0.3944, 0.1056, 0.5000)  1 Si 2.40
Si (0.6056, 0.8944, 0.5000)  1 Si 2.40
Si (0.8944, 0.3944, 0.5000)  1 Si 2.40